A relaxed ZnGe2Sb4 crystal, computed with PBE.

Results
- space group = No. 111
- calculated total energy (eV per cell) = -26.10
- E_form (uncorrected) (kJ/mol of atoms) = 12.33

abc: 5.641 5.641 6.557
angles: 90.00 90.00 90.00
Fractional positions:
1 Zn 0.000 0.000 0.000
2 Ge 0.000 0.500 0.500
3 Ge 0.500 0.000 0.500
4 Sb 0.283 0.283 0.233
5 Sb 0.283 0.717 0.767
6 Sb 0.717 0.283 0.767
7 Sb 0.717 0.717 0.233